1.
A geometry-optimized SrZr2BrF structure, computed with PBE.

Lattice parameters (Å, degrees): 4.398 4.398 7.661 90.00 90.00 90.00
Sites, in units of the cell vectors:
1 Sr 0.000 0.000 0.000
2 Zr 0.000 0.500 0.500
3 Zr 0.500 0.000 0.500
4 Br 0.500 0.500 0.000
5 F 0.000 0.000 0.500

**Spin magnetization**: 1.21 μB/f.u.
**Energy relative to the elements, uncorrected**: -0.54 eV per atom
**Volume**: 29.64 Å³ per atom
**ρ**: 4.13 g/cm3

2.
A geometry-optimized Sn2GeSe4 structure, computed with PBE.

Lattice parameters (Å, degrees): 6.976 6.976 13.908 90.00 90.00 146.85
Sites, in units of the cell vectors:
1 Sn 0.138 0.862 0.560
2 Sn 0.138 0.862 0.940
3 Sn 0.862 0.138 0.060
4 Sn 0.862 0.138 0.440
5 Ge 0.411 0.589 0.750
6 Ge 0.589 0.411 0.250
7 Se 0.038 0.962 0.750
8 Se 0.231 0.769 0.122
9 Se 0.231 0.769 0.378
10 Se 0.500 0.500 0.000
11 Se 0.500 0.500 0.500
12 Se 0.769 0.231 0.622
13 Se 0.769 0.231 0.878
14 Se 0.962 0.038 0.250

**Spin magnetization**: 0.00 μB/f.u.
**Energy relative to the elements, uncorrected**: -0.27 eV per atom
**Volume**: 26.44 Å³ per atom
**ρ**: 5.62 g/cm3

3.
A geometry-optimized TcCl structure, computed with PBE.

Lattice parameters (Å, degrees): 3.068 3.068 3.068 90.00 90.00 90.00
Sites, in units of the cell vectors:
1 Tc 0.000 0.000 0.000
2 Cl 0.500 0.500 0.500

**Spin magnetization**: 0.00 μB/f.u.
**Energy relative to the elements, uncorrected**: 1.02 eV per atom
**Volume**: 14.44 Å³ per atom
**ρ**: 7.67 g/cm3

4.
A geometry-optimized Si2IrPd structure, computed with PBE.

Lattice parameters (Å, degrees): 5.196 5.196 5.196 44.02 44.02 44.02
Sites, in units of the cell vectors:
1 Si 0.000 0.000 0.000
2 Si 0.189 0.189 0.189
3 Ir 0.580 0.580 0.580
4 Pd 0.775 0.775 0.775

**Spin magnetization**: 0.00 μB/f.u.
**Energy relative to the elements, uncorrected**: -0.42 eV per atom
**Volume**: 15.38 Å³ per atom
**ρ**: 9.58 g/cm3

5.
A geometry-optimized Cu2NiW structure, computed with PBE.

Lattice parameters (Å, degrees): 5.329 5.329 5.329 102.08 102.08 125.56
Sites, in units of the cell vectors:
1 Cu 0.105 0.625 0.980
2 Cu 0.375 0.355 0.480
3 Cu 0.645 0.125 0.020
4 Cu 0.875 0.895 0.520
5 Ni 0.000 0.000 0.000
6 Ni 0.750 0.250 0.500
7 W 0.250 0.750 0.500
8 W 0.500 0.500 0.000

**Spin magnetization**: 0.00 μB/f.u.
**Volume**: 13.68 Å³ per atom
**ρ**: 11.21 g/cm3
**E_form**: 0.761 eV/atom

6.
A geometry-optimized Sr2AcAg3O6 structure, computed with PBE.

Lattice parameters (Å, degrees): 4.150 4.150 12.601 90.00 90.00 90.00
Sites, in units of the cell vectors:
1 Sr 0.000 0.000 0.205
2 Sr 0.000 0.000 0.795
3 Ac 0.000 0.000 0.500
4 Ag 0.500 0.500 0.000
5 Ag 0.500 0.500 0.353
6 Ag 0.500 0.500 0.647
7 O 0.000 0.500 0.370
8 O 0.000 0.500 0.630
9 O 0.500 0.000 0.370
10 O 0.500 0.000 0.630
11 O 0.500 0.500 0.163
12 O 0.500 0.500 0.837

**Spin magnetization**: 0.00 μB/f.u.
**Energy relative to the elements, uncorrected**: -1.51 eV per atom
**Volume**: 18.09 Å³ per atom
**ρ**: 6.29 g/cm3